Computed, not measured: a relaxed structure of DyZrSi at the PBE level of DFT.

```
data_DyZrSi
_chemical_formula_sum 'Dy4 Zr4 Si4'
_symmetry_space_group_name_H-M 'F -4 3 m'
_symmetry_Int_Tables_number 216
_symmetry_space_group_name_Hall 'F -4 2 3'
_cell_length_a 6.5944
_cell_length_b 6.5944
_cell_length_c 6.5944
_cell_angle_alpha 90.00
_cell_angle_beta 90.00
_cell_angle_gamma 90.00
loop_
_atom_site_label
_atom_site_fract_x
_atom_site_fract_y
_atom_site_fract_z
_atom_site_occupancy
Dy1 0.0000 0.0000 0.0000 1
Zr1 0.0000 0.0000 0.5000 1
Si1 0.2500 0.2500 0.2500 1
```

For the mass density, the calculation gives 6.53 g/cm³. As for the volume: 287 Å³ per cell. For the calculated total energy, the calculation gives -6.55 eV per atom.